# 1
{
  "formula": "Sb2IrW",
  "functional": "PBE-GGA",
  "state": "optimized geometry",
  "formation_energy_uncorrected_ev_per_atom": 0.476,
  "de_polymorph_kj_per_mol_fu": 124,
  "n_ef_per_ev_fu": 3.1,
  "sg": "R-3m, No. 166",
  "lattice_angstrom": [[1.606, 0.927, 8.426], [-1.606, 0.927, 8.426], [0.000, -1.854, 8.426]],
  "species": ["Sb", "Sb", "Ir", "W"],
  "frac_coords": [[0.249, 0.249, 0.249], [0.751, 0.751, 0.751], [0.500, 0.500, 0.500], [0.000, 0.000, 0.000]]
}

=====

# 2
{
  "formula": "SbIrW",
  "functional": "PBE-GGA",
  "state": "optimized geometry",
  "formation_energy_uncorrected_ev_per_atom": 0.250,
  "de_polymorph_kj_per_mol_fu": 0,
  "n_ef_per_ev_fu": 1.0,
  "sg": "I4mm, No. 107",
  "lattice_angstrom": [[-1.510, 1.510, 5.921], [1.510, -1.510, 5.921], [1.510, 1.510, -5.921]],
  "species": ["Sb", "Ir", "W"],
  "frac_coords": [[0.000, 0.000, 0.000], [0.311, 0.311, 0.000], [0.677, 0.677, 0.000]]
}

=====

# 3
{
  "formula": "Sb2IrW",
  "functional": "PBE-GGA",
  "state": "optimized geometry",
  "formation_energy_uncorrected_ev_per_atom": 0.401,
  "de_polymorph_kj_per_mol_fu": 95,
  "n_ef_per_ev_fu": 2.6,
  "sg": "P4/mmm, No. 123",
  "lattice_angstrom": [[4.624, 0.000, 0.000], [0.000, 4.624, 0.000], [0.000, 0.000, 3.410]],
  "species": ["Sb", "Sb", "Ir", "W"],
  "frac_coords": [[0.000, 0.500, 0.000], [0.500, 0.000, 0.000], [0.000, 0.000, 0.500], [0.500, 0.500, 0.500]]
}